[1]
Material: HgPd6Pt5
Method: DFT, PBE
State: optimized geometry

The structure in extended XYZ format:
```
12
Lattice="-3.551 1.061 -1.532 -1.006 -3.829 4.928 -0.209 6.271 4.829" Properties=species:S:1:pos:R:3 pbc="T T T"
Pd -1.932 5.219 2.845
Pd -3.777 3.023 5.600
Pd -1.093 3.571 5.006
Pd -3.674 -0.067 3.219
Pt -0.105 3.135 2.415
Pd -2.834 -1.716 5.380
Hg 0.000 0.000 0.000
Pt -2.796 2.581 3.019
Pt -1.971 0.923 5.207
Pd -0.989 0.480 2.625
Pt -1.831 -2.171 2.740
Pt -2.936 5.674 5.486
```

**Formation energy**: -35 meV per atom
**Space-group type**: Cmmm
**DOS(E_F)**: 1.98 states/eV per atom

***

[2]
Material: Ac2ScInPt6
Method: DFT, PBE
State: optimized geometry

The structure in extended XYZ format:
```
10
Lattice="7.062 0.000 0.000 0.000 7.062 0.000 3.531 3.531 4.994" Properties=species:S:1:pos:R:3 pbc="T T T"
Ac 3.531 7.062 2.497
Pt 7.062 7.062 2.451
Pt 1.734 5.329 0.000
In 3.531 3.531 0.000
Pt 5.329 1.733 0.000
Pt 3.531 3.531 2.542
Ac 7.062 3.531 2.497
Pt 1.733 1.733 0.000
Sc 0.000 0.000 0.000
Pt 5.329 5.328 0.000
```

**Formation energy**: -370 meV per atom
**Space-group type**: Fm-3m
**DOS(E_F)**: 0.48 states/eV per atom